No. 1
Compound: Li2ZnHg
Source: Alexandria via LeMat-Bulk
Functional: GGA-PBE
Structure: relaxed

## Properties
- ΔH_f (0 K): 0.059 eV per atom
- DFT total energy: -1.292 eV/atom
- Space-group type: No. 71
- Magnetization: 0.0 μB per formula unit

abc: 6.0195 6.0195 6.0195
angles: 149.69 133.68 56.36
Positions (direct):
Li  0.2472  0.2472  0.0000
Li  0.7528  0.7528  0.0000
Zn  0.0000  0.0000  0.0000
Hg  0.5000  0.5000  0.0000

=====

No. 2
Compound: Li7Zn2Hg2
Source: Alexandria via LeMat-Bulk
Functional: GGA-PBE
Structure: relaxed

## Properties
- ΔH_f (0 K): -0.084 eV per atom
- DFT total energy: -1.589 eV/atom
- Space-group type: No. 12
- Magnetization: 0.0 μB per formula unit

abc: 5.8135 5.8135 7.2241
angles: 90.20 90.20 63.68
Positions (direct):
Li  0.0000  0.0000  0.0000
Li  0.0004  0.4991  0.3167
Li  0.9996  0.5009  0.6833
Li  0.4991  0.0004  0.3167
Li  0.5002  0.5002  0.2395
Li  0.4998  0.4998  0.7605
Li  0.5009  0.9996  0.6833
Zn  0.2005  0.7995  0.5000
Zn  0.7995  0.2005  0.5000
Hg  0.2835  0.2835  0.9995
Hg  0.7165  0.7165  0.0005

=====

No. 3
Compound: LiZn2Hg
Source: Alexandria via LeMat-Bulk
Functional: GGA-PBE
Structure: relaxed

## Properties
- ΔH_f (0 K): -0.087 eV per atom
- DFT total energy: -1.278 eV/atom
- Space-group type: No. 47
- Magnetization: 0.0 μB per formula unit

abc: 3.2063 3.5778 5.8962
angles: 90.00 90.00 90.00
Positions (direct):
Li  0.0000  0.0000  0.0000
Zn  0.5000  0.5000  0.2228
Zn  0.5000  0.5000  0.7772
Hg  0.0000  0.0000  0.5000

=====

No. 4
Compound: Li5ZnHg8
Source: Alexandria via LeMat-Bulk
Functional: GGA-PBE
Structure: relaxed

## Properties
- ΔH_f (0 K): -0.208 eV per atom
- DFT total energy: -1.155 eV/atom
- Space-group type: No. 82
- Magnetization: 0.0 μB per formula unit

abc: 7.2651 7.2651 7.2651
angles: 111.21 111.21 106.05
Positions (direct):
Li  0.0000  0.0000  0.0000
Li  0.2863  0.6231  0.1014
Li  0.3769  0.4783  0.6632
Li  0.5217  0.1849  0.8986
Li  0.8151  0.7137  0.3368
Zn  0.7500  0.2500  0.5000
Hg  0.9998  0.3954  0.2562
Hg  0.0936  0.1761  0.7313
Hg  0.1392  0.7436  0.7438
Hg  0.2564  0.0002  0.3956
Hg  0.4448  0.3624  0.2687
Hg  0.6046  0.8608  0.6044
Hg  0.6376  0.9064  0.0825
Hg  0.8239  0.5552  0.9175

=====

No. 5
Compound: LiZn2Hg
Source: Alexandria via LeMat-Bulk
Functional: GGA-PBE
Structure: relaxed

## Properties
- ΔH_f (0 K): -0.011 eV per atom
- DFT total energy: -1.202 eV/atom
- Space-group type: No. 123
- Magnetization: 0.0 μB per formula unit

abc: 2.9306 2.9306 8.4211
angles: 90.00 90.00 90.00
Positions (direct):
Li  0.0000  0.0000  0.0000
Zn  0.5000  0.5000  0.2251
Zn  0.5000  0.5000  0.7749
Hg  0.0000  0.0000  0.5000

=====

No. 6
Compound: Li7ZnHg3
Source: Alexandria via LeMat-Bulk
Functional: GGA-PBE
Structure: relaxed

## Properties
- ΔH_f (0 K): -0.222 eV per atom
- DFT total energy: -1.638 eV/atom
- Space-group type: No. 63
- Magnetization: 0.0 μB per formula unit

abc: 11.2232 11.2232 12.0600
angles: 90.00 90.00 164.06
Positions (direct):
Li  0.0522  0.9478  0.6296
Li  0.0522  0.9478  0.8704
Li  0.0865  0.9135  0.0989
Li  0.0865  0.9135  0.4011
Li  0.1859  0.8141  0.7500
Li  0.2236  0.7764  0.0972
Li  0.2236  0.7764  0.4028
Li  0.7764  0.2236  0.5972
Li  0.7764  0.2236  0.9028
Li  0.8141  0.1859  0.2500
Li  0.9135  0.0865  0.5989
Li  0.9135  0.0865  0.9011
Li  0.9478  0.0522  0.1296
Li  0.9478  0.0522  0.3704
Zn  0.4725  0.5275  0.7500
Zn  0.5275  0.4725  0.2500
Hg  0.3416  0.6584  0.7500
Hg  0.3476  0.6524  0.0586
Hg  0.3476  0.6524  0.4414
Hg  0.6524  0.3476  0.5586
Hg  0.6524  0.3476  0.9414
Hg  0.6584  0.3416  0.2500

=====

No. 7
Compound: LiZn2Hg2
Source: Alexandria via LeMat-Bulk
Functional: GGA-PBE
Structure: relaxed

## Properties
- ΔH_f (0 K): -0.006 eV per atom
- DFT total energy: -1.019 eV/atom
- Space-group type: No. 127
- Magnetization: 0.0 μB per formula unit
- Distance to the lowest polymorph of the same formula: 47.0 meV/atom

abc: 7.6492 7.6492 3.5045
angles: 90.00 90.00 90.00
Positions (direct):
Li  0.0000  0.0000  0.0000
Li  0.5000  0.5000  0.0000
Zn  0.1256  0.3744  0.5000
Zn  0.3744  0.8744  0.5000
Zn  0.6256  0.1256  0.5000
Zn  0.8744  0.6256  0.5000
Hg  0.1765  0.6765  0.0000
Hg  0.3235  0.1765  0.0000
Hg  0.6765  0.8235  0.0000
Hg  0.8235  0.3235  0.0000

=====

No. 8
Compound: Li12Zn6Hg
Source: Alexandria via LeMat-Bulk
Functional: GGA-PBE
Structure: relaxed

## Properties
- ΔH_f (0 K): -0.123 eV per atom
- DFT total energy: -1.750 eV/atom
- Space-group type: No. 148
- Magnetization: 0.0 μB per formula unit
- Distance to the lowest polymorph of the same formula: 47.5 meV/atom

abc: 6.8864 6.8864 6.8864
angles: 89.10 89.10 89.10
Positions (direct):
Li  0.0244  0.3035  0.9303
Li  0.0697  0.9756  0.6965
Li  0.1212  0.3424  0.4712
Li  0.3035  0.9303  0.0244
Li  0.3424  0.4712  0.1212
Li  0.4712  0.1212  0.3424
Li  0.5288  0.8788  0.6576
Li  0.6576  0.5288  0.8788
Li  0.6965  0.0697  0.9756
Li  0.8788  0.6576  0.5288
Li  0.9303  0.0244  0.3035
Li  0.9756  0.6965  0.0697
Zn  0.2193  0.6146  0.7666
Zn  0.2334  0.7807  0.3854
Zn  0.3854  0.2334  0.7807
Zn  0.6146  0.7666  0.2193
Zn  0.7666  0.2193  0.6146
Zn  0.7807  0.3854  0.2334
Hg  0.5000  0.5000  0.5000

=====

| no. | DOS at the Fermi energy (states/eV/cell) |
| --- | --- |
| 1 | 1.5 |
| 2 | 3.9 |
| 3 | 0.7 |
| 4 | 4.6 |
| 5 | 0.8 |
| 6 | 7.1 |
| 7 | 4.1 |
| 8 | 8.1 |